Entry 1:
Material: CaPO3
Method: DFT, SCAN
State: single point on PBEsol structure

Output
Space-group type: Pm-3m (221)
Magnetization: 0.00 μB/f.u.
Density of states at the Fermi level: 0.7 states/eV/cell

Cell lengths 3.695, 3.695, 3.695 Å; angles 90.00, 90.00, 90.00 degrees
Positions (direct):
P 0.500 0.500 0.500
Ca 0.000 0.000 0.000
O 0.500 0.000 0.500
O 0.500 0.500 0.000
O 0.000 0.500 0.500



Entry 2:
Material: Mn4ReBr
Method: DFT, SCAN
State: single point on PBEsol structure

Output
Space-group type: F-43m (216)
Magnetization: 7.91 μB/f.u.
Density of states at the Fermi level: 3.6 states/eV/cell

Cell lengths 4.756, 4.756, 4.756 Å; angles 60.00, 60.00, 60.00 degrees
Positions (direct):
Re 0.750 0.750 0.750
Br 0.000 0.000 0.000
Mn 0.376 0.873 0.376
Mn 0.376 0.376 0.873
Mn 0.873 0.376 0.376
Mn 0.376 0.376 0.376



Entry 3:
Material: Ca3TlB
Method: DFT, SCAN
State: single point on PBEsol structure

Output
Space-group type: Pm-3m (221)
Magnetization: 1.95 μB/f.u.
Energy of formation: 0.826 eV/atom
Density of states at the Fermi level: 4.2 states/eV/cell

Cell lengths 5.822, 5.822, 5.822 Å; angles 90.00, 90.00, 90.00 degrees
Positions (direct):
Ca 0.000 0.000 0.500
Ca 0.000 0.500 0.000
Ca 0.500 0.000 0.000
B 0.500 0.500 0.500
Tl 0.000 0.000 0.000



Entry 4:
Material: Sc7Cl12
Method: DFT, SCAN
State: single point on PBEsol structure

Output
Space-group type: R-3 (148)
Magnetization: 5.01 μB/f.u.
Density of states at the Fermi level: 1.3 states/eV/cell

Cell lengths 7.980, 7.980, 7.980 Å; angles 107.63, 107.63, 107.63 degrees
Positions (direct):
Cl 0.388 0.469 0.155
Cl 0.685 0.225 0.076
Cl 0.225 0.076 0.685
Cl 0.845 0.612 0.531
Cl 0.924 0.315 0.775
Cl 0.155 0.388 0.469
Cl 0.531 0.845 0.612
Cl 0.076 0.685 0.225
Cl 0.775 0.924 0.315
Cl 0.469 0.155 0.388
Cl 0.315 0.775 0.924
Cl 0.612 0.531 0.845
Sc 0.893 0.967 0.686
Sc 0.967 0.686 0.893
Sc 0.314 0.107 0.033
Sc 0.107 0.033 0.314
Sc 0.500 0.500 0.500
Sc 0.033 0.314 0.107
Sc 0.686 0.893 0.967



Entry 5:
Material: CoSnI2N
Method: DFT, SCAN
State: single point on PBEsol structure

Output
Space-group type: P4/mmm (123)
Magnetization: 2.62 μB/f.u.
Density of states at the Fermi level: 4.4 states/eV/cell

Cell lengths 3.804, 5.911, 5.911 Å; angles 90.00, 90.00, 90.00 degrees
Positions (direct):
I 0.000 0.000 0.500
I 0.000 0.500 0.000
Sn 0.000 0.000 0.000
N 0.500 0.000 0.000
Co 0.500 0.500 0.500



Entry 6:
Material: La2ZrCl
Method: DFT, SCAN
State: single point on PBEsol structure

Output
Space-group type: P2/m (10)
Magnetization: 0.00 μB/f.u.
Relative energy among the computed polymorphs: 0 kJ/mol of formula units
Density of states at the Fermi level: 3.8 states/eV/cell

Cell lengths 3.452, 3.542, 9.349 Å; angles 90.00, 90.53, 90.00 degrees
Positions (direct):
La 0.009 0.000 0.244
La 0.991 0.000 0.756
Cl 0.000 0.500 0.500
Zr 0.500 0.500 0.000



Entry 7:
Material: LiZnTe2
Method: DFT, SCAN
State: single point on PBEsol structure

Output
Space-group type: C2/m (12)
Magnetization: 0.00 μB/f.u.
Density of states at the Fermi level: 1.0 states/eV/cell

Cell lengths 4.188, 5.018, 5.018 Å; angles 103.21, 104.27, 104.27 degrees
Positions (direct):
Li 0.500 0.000 0.000
Te 0.000 0.500 0.000
Te 0.000 0.000 0.500
Zn 0.500 0.500 0.500



Entry 8:
Material: Tc2OsPb
Method: DFT, SCAN
State: single point on PBEsol structure

Output
Space-group type: P4mm (99)
Magnetization: 0.00 μB/f.u.
Energy of formation: 0.610 eV/atom
Density of states at the Fermi level: 4.6 states/eV/cell

Cell lengths 2.923, 2.923, 7.540 Å; angles 90.00, 90.00, 90.00 degrees
Positions (direct):
Os 0.000 0.000 0.470
Tc 0.000 0.000 0.029
Tc 0.500 0.500 0.250
Pb 0.500 0.500 0.750



Entry 9:
Material: NaZnAgF2
Method: DFT, SCAN
State: single point on PBEsol structure

Output
Space-group type: P4/mmm (123)
Magnetization: 0.00 μB/f.u.
Density of states at the Fermi level: 0.0 states/eV/cell

Cell lengths 4.586, 4.586, 4.799 Å; angles 90.00, 90.00, 90.00 degrees
Positions (direct):
F 0.500 0.000 0.000
F 0.000 0.500 0.000
Na 0.500 0.500 0.500
Zn 0.000 0.000 0.500
Ag 0.000 0.000 0.000



Entry 10:
Material: ScTc2Pb
Method: DFT, SCAN
State: single point on PBEsol structure

Output
Space-group type: I4/mmm (139)
Magnetization: 0.00 μB/f.u.
Energy of formation: 0.294 eV/atom
Density of states at the Fermi level: 5.3 states/eV/cell

Cell lengths 4.018, 4.018, 5.145 Å; angles 112.98, 112.98, 90.00 degrees
Positions (direct):
Tc 0.750 0.250 0.500
Tc 0.250 0.750 0.500
Pb 0.500 0.500 0.000
Sc 0.000 0.000 0.000



Entry 11:
Material: CrPtSeN2
Method: DFT, SCAN
State: single point on PBEsol structure

Output
Space-group type: P4/mmm (123)
Magnetization: 0.67 μB/f.u.
Density of states at the Fermi level: 2.2 states/eV/cell

Cell lengths 3.584, 3.584, 5.302 Å; angles 90.00, 90.00, 90.00 degrees
Positions (direct):
Se 0.000 0.000 0.500
Pt 0.500 0.500 0.500
N 0.500 0.000 0.000
N 0.000 0.500 0.000
Cr 0.000 0.000 0.000



Entry 12:
Material: NbSiB3
Method: DFT, SCAN
State: single point on PBEsol structure

Output
Space-group type: Pm-3m (221)
Magnetization: 0.00 μB/f.u.
Relative energy among the computed polymorphs: 203 kJ/mol of formula units
Density of states at the Fermi level: 1.5 states/eV/cell

Cell lengths 4.234, 4.234, 4.234 Å; angles 90.00, 90.00, 90.00 degrees
Positions (direct):
B 0.000 0.500 0.000
B 0.500 0.000 0.000
B 0.000 0.000 0.500
Nb 0.000 0.000 0.000
Si 0.500 0.500 0.500



Entry 13:
Material: Y2MgP
Method: DFT, SCAN
State: single point on PBEsol structure

Output
Space-group type: P4/mmm (123)
Magnetization: 0.13 μB/f.u.
Relative energy among the computed polymorphs: 133 kJ/mol of formula units
Energy of formation: -0.538 eV/atom
Density of states at the Fermi level: 2.2 states/eV/cell

Cell lengths 3.782, 4.811, 4.811 Å; angles 90.00, 90.00, 90.00 degrees
Positions (direct):
P 0.500 0.000 0.000
Y 0.000 0.500 0.000
Y 0.000 0.000 0.500
Mg 0.500 0.500 0.500



Entry 14:
Material: CsCo2H
Method: DFT, SCAN
State: single point on PBEsol structure

Output
Space-group type: Fd-3m (227)
Magnetization: 2.07 μB/f.u.
Density of states at the Fermi level: 4.6 states/eV/cell

Cell lengths 5.493, 5.493, 5.493 Å; angles 60.00, 60.00, 60.00 degrees
Positions (direct):
Co 0.625 0.125 0.125
Co 0.125 0.625 0.125
Co 0.125 0.125 0.125
Co 0.125 0.125 0.625
Cs 0.500 0.500 0.500
Cs 0.750 0.750 0.750
H 0.250 0.250 0.250
H 0.000 0.000 0.000



Entry 15:
Material: BaAlMo2
Method: DFT, SCAN
State: single point on PBEsol structure

Output
Space-group type: C2/m (12)
Magnetization: 0.00 μB/f.u.
Energy of formation: 1.190 eV/atom
Density of states at the Fermi level: 3.6 states/eV/cell

Cell lengths 2.855, 5.674, 5.684 Å; angles 118.47, 101.92, 95.13 degrees
Positions (direct):
Ba 0.000 0.500 0.000
Al 0.500 0.000 0.000
Mo 0.000 0.000 0.500
Mo 0.500 0.500 0.500



Entry 16:
Material: CaCu6O8
Method: DFT, SCAN
State: single point on PBEsol structure

Output
Space-group type: Fm-3m (225)
Magnetization: 0.00 μB/f.u.
Density of states at the Fermi level: 7.2 states/eV/cell

Cell lengths 6.452, 6.452, 6.452 Å; angles 60.00, 60.00, 60.00 degrees
Positions (direct):
O 0.438 0.854 0.854
O 0.146 0.146 0.562
O 0.854 0.854 0.854
O 0.146 0.146 0.146
O 0.854 0.854 0.438
O 0.854 0.438 0.854
O 0.146 0.562 0.146
O 0.562 0.146 0.146
Cu 0.000 0.500 0.000
Cu 0.500 0.500 0.000
Cu 0.500 0.000 0.000
Cu 0.000 0.000 0.500
Cu 0.000 0.500 0.500
Cu 0.500 0.000 0.500
Ca 0.000 0.000 0.000



Entry 17:
Material: TiBr4
Method: DFT, SCAN
State: single point on PBEsol structure

Output
Space-group type: P2_1/c (14)
Magnetization: 0.00 μB/f.u.
Density of states at the Fermi level: 0.0 states/eV/cell

Cell lengths 6.886, 10.314, 10.309 Å; angles 102.17, 90.00, 90.00 degrees
Positions (direct):
Br 0.920 0.046 0.194
Br 0.104 0.425 0.311
Br 0.078 0.692 0.068
Br 0.083 0.197 0.577
Br 0.580 0.546 0.194
Br 0.420 0.454 0.806
Br 0.604 0.075 0.689
Br 0.583 0.303 0.423
Br 0.917 0.803 0.423
Br 0.080 0.954 0.806
Br 0.896 0.575 0.689
Br 0.922 0.308 0.932
Br 0.578 0.808 0.932
Br 0.396 0.925 0.311
Br 0.422 0.192 0.068
Br 0.417 0.697 0.577
Ti 0.922 0.133 0.750
Ti 0.078 0.867 0.250
Ti 0.422 0.367 0.250
Ti 0.578 0.633 0.750



Entry 18:
Material: Ba2OsBr
Method: DFT, SCAN
State: single point on PBEsol structure

Output
Space-group type: F-43m (216)
Magnetization: 1.01 μB/f.u.
Relative energy among the computed polymorphs: 318 kJ/mol of formula units
Density of states at the Fermi level: 6.6 states/eV/cell

Cell lengths 5.381, 5.381, 5.381 Å; angles 60.00, 60.00, 60.00 degrees
Positions (direct):
Ba 0.000 0.000 0.000
Ba 0.750 0.750 0.750
Os 0.250 0.250 0.250
Br 0.500 0.500 0.500



Entry 19:
Material: SrSbAs3
Method: DFT, SCAN
State: single point on PBEsol structure

Output
Space-group type: Pm-3m (221)
Magnetization: 0.00 μB/f.u.
Density of states at the Fermi level: 4.5 states/eV/cell

Cell lengths 5.249, 5.249, 5.249 Å; angles 90.00, 90.00, 90.00 degrees
Positions (direct):
As 0.000 0.500 0.000
As 0.500 0.000 0.000
As 0.000 0.000 0.500
Sb 0.000 0.000 0.000
Sr 0.500 0.500 0.500



Entry 20:
Material: SrMn2Se
Method: DFT, SCAN
State: single point on PBEsol structure

Output
Space-group type: Imm2 (44)
Magnetization: 7.41 μB/f.u.
Density of states at the Fermi level: 4.4 states/eV/cell

Cell lengths 4.266, 4.403, 5.783 Å; angles 112.38, 111.64, 90.00 degrees
Positions (direct):
Se 0.455 0.455 0.911
Sr 0.211 0.711 0.423
Mn 0.968 0.968 0.935
Mn 0.866 0.366 0.731



Entry 21:
Material: Ti2Cu2Au
Method: DFT, SCAN
State: single point on PBEsol structure

Output
Space-group type: P4/mbm (127)
Magnetization: 0.00 μB/f.u.
Energy of formation: -0.295 eV/atom
Density of states at the Fermi level: 8.5 states/eV/cell

Cell lengths 3.249, 6.665, 6.665 Å; angles 90.00, 90.00, 90.00 degrees
Positions (direct):
Cu 0.000 0.873 0.627
Cu 0.000 0.373 0.873
Cu 0.000 0.627 0.127
Cu 0.000 0.127 0.373
Au 0.000 0.000 0.000
Au 0.000 0.500 0.500
Ti 0.500 0.669 0.831
Ti 0.500 0.169 0.669
Ti 0.500 0.831 0.331
Ti 0.500 0.331 0.169



Entry 22:
Material: FePdSe2Br
Method: DFT, SCAN
State: single point on PBEsol structure

Output
Space-group type: P4/mmm (123)
Magnetization: 3.98 μB/f.u.
Density of states at the Fermi level: 2.6 states/eV/cell

Cell lengths 4.867, 4.867, 4.919 Å; angles 90.00, 90.00, 90.00 degrees
Positions (direct):
Pd 0.000 0.000 0.000
Fe 0.500 0.500 0.500
Br 0.000 0.000 0.500
Se 0.000 0.500 0.000
Se 0.500 0.000 0.000



Entry 23:
Material: Te2PdPtN
Method: DFT, SCAN
State: single point on PBEsol structure

Output
Space-group type: P4/mmm (123)
Magnetization: 0.00 μB/f.u.
Density of states at the Fermi level: 2.2 states/eV/cell

Cell lengths 3.575, 5.446, 5.446 Å; angles 90.00, 90.00, 90.00 degrees
Positions (direct):
Te 0.000 0.000 0.500
Te 0.000 0.500 0.000
Pd 0.500 0.500 0.500
Pt 0.000 0.000 0.000
N 0.500 0.000 0.000



Entry 24:
Material: Zr2SbBr
Method: DFT, SCAN
State: single point on PBEsol structure

Output
Space-group type: F-43m (216)
Magnetization: 2.17 μB/f.u.
Relative energy among the computed polymorphs: 281 kJ/mol of formula units
Density of states at the Fermi level: 3.2 states/eV/cell

Cell lengths 5.015, 5.015, 5.015 Å; angles 60.00, 60.00, 60.00 degrees
Positions (direct):
Zr 0.750 0.750 0.750
Zr 0.000 0.000 0.000
Sb 0.250 0.250 0.250
Br 0.500 0.500 0.500



Entry 25:
Material: ReAs2IrSe
Method: DFT, SCAN
State: single point on PBEsol structure

Output
Space-group type: P4/mmm (123)
Magnetization: 2.39 μB/f.u.
Density of states at the Fermi level: 3.2 states/eV/cell

Cell lengths 4.638, 4.638, 4.910 Å; angles 90.00, 90.00, 90.00 degrees
Positions (direct):
Re 0.500 0.500 0.500
As 0.000 0.500 0.000
As 0.500 0.000 0.000
Se 0.000 0.000 0.500
Ir 0.000 0.000 0.000



Entry 26:
Material: ZnCdBAu2
Method: DFT, SCAN
State: single point on PBEsol structure

Output
Space-group type: P4/mmm (123)
Magnetization: 0.00 μB/f.u.
Energy of formation: 0.675 eV/atom
Density of states at the Fermi level: 1.3 states/eV/cell

Cell lengths 3.836, 4.850, 4.850 Å; angles 90.00, 90.00, 90.00 degrees
Positions (direct):
Au 0.000 0.500 0.000
Au 0.000 0.000 0.500
B 0.500 0.000 0.000
Zn 0.000 0.000 0.000
Cd 0.500 0.500 0.500



no.,total energy (eV per atom)
1,-9.899
2,-26.421
3,-20.929
4,-12.306
5,-26.126
6,-31.903
7,-22.913
8,-53.835
9,-12.229
10,-39.741
11,-24.908
12,-11.316
13,-18.303
14,-18.051
15,-28.078
16,-11.102
17,-20.075
18,-42.142
19,-23.895
20,-19.766
21,-26.618
22,-21.555
23,-36.871
24,-29.365
25,-39.059
26,-37.260